1.
Compound: MoRhPb2
Source: Alexandria via LeMat-Bulk
Functional: PBE-GGA
Structure: optimized geometry

The calculation puts the density of states at the Fermi level at 11.99 states/eV per cell. The value obtained for the energy is -5.8757 eV/atom.

CIF file:
```
data_MoRhPb2
_symmetry_space_group_name_H-M 'R -3 m'
_symmetry_Int_Tables_number 166
_symmetry_space_group_name_Hall '-R 3 2"'
_cell_length_a 3.2787
_cell_length_b 3.2787
_cell_length_c 25.8953
_cell_angle_alpha 90.00
_cell_angle_beta 90.00
_cell_angle_gamma 120.00
loop_
_atom_site_label
_atom_site_type_symbol
_atom_site_fract_x
_atom_site_fract_y
_atom_site_fract_z
_atom_site_occupancy
Mo1 Mo 0.0000 0.0000 0.0000 1
Rh1 Rh 0.0000 0.0000 0.5000 1
Pb1 Pb 0.0000 0.0000 0.2468 1
```

---

2.
Compound: MoRh2Pb
Source: Alexandria via LeMat-Bulk
Functional: PBE-GGA
Structure: optimized geometry

The calculation puts the density of states at the Fermi level at 7.31 states/eV per cell. The value obtained for the energy is -6.7470 eV/atom.

CIF file:
```
data_MoRh2Pb
_symmetry_space_group_name_H-M 'I -4 2 d'
_symmetry_Int_Tables_number 122
_symmetry_space_group_name_Hall 'I -4 2bw'
_cell_length_a 4.1503
_cell_length_b 4.1503
_cell_length_c 17.5104
_cell_angle_alpha 90.00
_cell_angle_beta 90.00
_cell_angle_gamma 90.00
loop_
_atom_site_label
_atom_site_type_symbol
_atom_site_fract_x
_atom_site_fract_y
_atom_site_fract_z
_atom_site_occupancy
Mo1 Mo 0.0000 0.0000 0.0000 1
Rh1 Rh 0.2162 0.2500 0.1250 1
Pb1 Pb 0.0000 0.0000 0.5000 1
```

---

3.
Compound: MoRhPb2
Source: Alexandria via LeMat-Bulk
Functional: PBE-GGA
Structure: optimized geometry

The calculation puts the density of states at the Fermi level at 10.59 states/eV per cell. The value obtained for the energy is -5.8087 eV/atom.

CIF file:
```
data_MoRhPb2
_symmetry_space_group_name_H-M 'I -4 m 2'
_symmetry_Int_Tables_number 119
_symmetry_space_group_name_Hall 'I -4 -2'
_cell_length_a 4.0030
_cell_length_b 4.0030
_cell_length_c 10.0859
_cell_angle_alpha 90.00
_cell_angle_beta 90.00
_cell_angle_gamma 90.00
loop_
_atom_site_label
_atom_site_type_symbol
_atom_site_fract_x
_atom_site_fract_y
_atom_site_fract_z
_atom_site_occupancy
Mo1 Mo 0.0000 0.0000 0.0000 1
Rh1 Rh 0.0000 0.5000 0.2500 1
Pb1 Pb 0.0000 0.0000 0.5000 1
Pb2 Pb 0.0000 0.5000 0.7500 1
```

---

4.
Compound: Mo2RhPb
Source: Alexandria via LeMat-Bulk
Functional: PBE-GGA
Structure: optimized geometry

The calculation puts the density of states at the Fermi level at 8.14 states/eV per cell. The value obtained for the energy is -7.6875 eV/atom.

CIF file:
```
data_Mo2RhPb
_symmetry_space_group_name_H-M 'C 1 2/m 1'
_symmetry_Int_Tables_number 12
_symmetry_space_group_name_Hall '-C 2y'
_cell_length_a 5.2897
_cell_length_b 8.8822
_cell_length_c 2.9493
_cell_angle_alpha 90.00
_cell_angle_beta 90.16
_cell_angle_gamma 90.00
loop_
_atom_site_label
_atom_site_type_symbol
_atom_site_fract_x
_atom_site_fract_y
_atom_site_fract_z
_atom_site_occupancy
Mo1 Mo 0.2500 0.2500 0.0000 1
Rh1 Rh 0.0000 0.0000 0.5000 1
Pb1 Pb 0.0000 0.5000 0.5000 1
```

---

5.
Compound: Mo2RhPb
Source: Alexandria via LeMat-Bulk
Functional: PBE-GGA
Structure: optimized geometry

The calculation puts the density of states at the Fermi level at 4.93 states/eV per cell. The value obtained for the energy is -7.5197 eV/atom.

CIF file:
```
data_Mo2RhPb
_symmetry_space_group_name_H-M 'P 4/m m m'
_symmetry_Int_Tables_number 123
_symmetry_space_group_name_Hall '-P 4 2'
_cell_length_a 4.7898
_cell_length_b 4.7898
_cell_length_c 3.0272
_cell_angle_alpha 90.00
_cell_angle_beta 90.00
_cell_angle_gamma 90.00
loop_
_atom_site_label
_atom_site_type_symbol
_atom_site_fract_x
_atom_site_fract_y
_atom_site_fract_z
_atom_site_occupancy
Mo1 Mo 0.0000 0.5000 0.0000 1
Rh1 Rh 0.0000 0.0000 0.5000 1
Pb1 Pb 0.5000 0.5000 0.5000 1
```

---

6.
Compound: MoRh2Pb
Source: Alexandria via LeMat-Bulk
Functional: PBE-GGA
Structure: optimized geometry

The calculation puts the density of states at the Fermi level at 5.26 states/eV per cell. The value obtained for the energy is -7.0012 eV/atom.

CIF file:
```
data_MoRh2Pb
_symmetry_space_group_name_H-M 'P m m m'
_symmetry_Int_Tables_number 47
_symmetry_space_group_name_Hall '-P 2 2'
_cell_length_a 3.9845
_cell_length_b 4.0855
_cell_length_c 4.1364
_cell_angle_alpha 90.00
_cell_angle_beta 90.00
_cell_angle_gamma 90.00
loop_
_atom_site_label
_atom_site_type_symbol
_atom_site_fract_x
_atom_site_fract_y
_atom_site_fract_z
_atom_site_occupancy
Mo1 Mo 0.0000 0.0000 0.0000 1
Rh1 Rh 0.5000 0.0000 0.5000 1
Rh2 Rh 0.5000 0.5000 0.0000 1
Pb1 Pb 0.0000 0.5000 0.5000 1
```

---

7.
Compound: MoRhPb2
Source: Alexandria via LeMat-Bulk
Functional: PBE-GGA
Structure: optimized geometry

The calculation puts the density of states at the Fermi level at 7.90 states/eV per cell. The value obtained for the energy is -5.7857 eV/atom.

CIF file:
```
data_MoRhPb2
_symmetry_space_group_name_H-M 'I m m m'
_symmetry_Int_Tables_number 71
_symmetry_space_group_name_Hall '-I 2 2'
_cell_length_a 3.4664
_cell_length_b 5.3875
_cell_length_c 8.7629
_cell_angle_alpha 90.00
_cell_angle_beta 90.00
_cell_angle_gamma 90.00
loop_
_atom_site_label
_atom_site_type_symbol
_atom_site_fract_x
_atom_site_fract_y
_atom_site_fract_z
_atom_site_occupancy
Mo1 Mo 0.0000 0.0000 0.0000 1
Rh1 Rh 0.0000 0.0000 0.5000 1
Pb1 Pb 0.0000 0.5000 0.2398 1
```

---

8.
Compound: Mo2RhPb
Source: Alexandria via LeMat-Bulk
Functional: PBE-GGA
Structure: optimized geometry

The calculation puts the density of states at the Fermi level at 12.16 states/eV per cell. The value obtained for the energy is -7.7376 eV/atom.

CIF file:
```
data_Mo2RhPb
_symmetry_space_group_name_H-M 'F -4 3 m'
_symmetry_Int_Tables_number 216
_symmetry_space_group_name_Hall 'F -4 2 3'
_cell_length_a 6.5114
_cell_length_b 6.5114
_cell_length_c 6.5114
_cell_angle_alpha 90.00
_cell_angle_beta 90.00
_cell_angle_gamma 90.00
loop_
_atom_site_label
_atom_site_type_symbol
_atom_site_fract_x
_atom_site_fract_y
_atom_site_fract_z
_atom_site_occupancy
Mo1 Mo 0.0000 0.0000 0.0000 1
Mo2 Mo 0.2500 0.2500 0.2500 1
Rh1 Rh 0.2500 0.2500 0.7500 1
Pb1 Pb 0.0000 0.0000 0.5000 1
```

---

9.
Compound: MoRhPb2
Source: Alexandria via LeMat-Bulk
Functional: PBE-GGA
Structure: optimized geometry

The calculation puts the density of states at the Fermi level at 9.85 states/eV per cell. The value obtained for the energy is -5.7059 eV/atom.

CIF file:
```
data_MoRhPb2
_symmetry_space_group_name_H-M 'F -4 3 m'
_symmetry_Int_Tables_number 216
_symmetry_space_group_name_Hall 'F -4 2 3'
_cell_length_a 6.9556
_cell_length_b 6.9556
_cell_length_c 6.9556
_cell_angle_alpha 90.00
_cell_angle_beta 90.00
_cell_angle_gamma 90.00
loop_
_atom_site_label
_atom_site_type_symbol
_atom_site_fract_x
_atom_site_fract_y
_atom_site_fract_z
_atom_site_occupancy
Mo1 Mo 0.0000 0.0000 0.0000 1
Rh1 Rh 0.2500 0.2500 0.7500 1
Pb1 Pb 0.0000 0.0000 0.5000 1
Pb2 Pb 0.2500 0.2500 0.2500 1
```

---

10.
Compound: MoRhPb2
Source: Alexandria via LeMat-Bulk
Functional: PBE-GGA
Structure: optimized geometry

The calculation puts the density of states at the Fermi level at 7.31 states/eV per cell. The value obtained for the energy is -5.8490 eV/atom.

CIF file:
```
data_MoRhPb2
_symmetry_space_group_name_H-M 'C 1 2/m 1'
_symmetry_Int_Tables_number 12
_symmetry_space_group_name_Hall '-C 2y'
_cell_length_a 9.0103
_cell_length_b 3.1469
_cell_length_c 5.8201
_cell_angle_alpha 90.00
_cell_angle_beta 102.74
_cell_angle_gamma 90.00
loop_
_atom_site_label
_atom_site_type_symbol
_atom_site_fract_x
_atom_site_fract_y
_atom_site_fract_z
_atom_site_occupancy
Mo1 Mo 0.0000 0.0000 0.0000 1
Rh1 Rh 0.0000 0.5000 0.5000 1
Pb1 Pb 0.2449 0.0000 0.7457 1
```

---

11.
Compound: Mo2RhPb
Source: Alexandria via LeMat-Bulk
Functional: PBE-GGA
Structure: optimized geometry

The calculation puts the density of states at the Fermi level at 6.64 states/eV per cell. The value obtained for the energy is -7.8544 eV/atom.

CIF file:
```
data_Mo2RhPb
_symmetry_space_group_name_H-M 'C 1 2/m 1'
_symmetry_Int_Tables_number 12
_symmetry_space_group_name_Hall '-C 2y'
_cell_length_a 9.7102
_cell_length_b 3.1378
_cell_length_c 4.7326
_cell_angle_alpha 90.00
_cell_angle_beta 103.01
_cell_angle_gamma 90.00
loop_
_atom_site_label
_atom_site_type_symbol
_atom_site_fract_x
_atom_site_fract_y
_atom_site_fract_z
_atom_site_occupancy
Mo1 Mo 0.2418 0.0000 0.2077 1
Rh1 Rh 0.0000 0.5000 0.0000 1
Pb1 Pb 0.0000 0.0000 0.5000 1
```

---

12.
Compound: MoRh3Pb
Source: Alexandria via LeMat-Bulk
Functional: PBE-GGA
Structure: optimized geometry

The calculation puts the density of states at the Fermi level at 17.26 states/eV per cell. The value obtained for the energy is -5.2991 eV/atom.

CIF file:
```
data_MoRh3Pb
_symmetry_space_group_name_H-M 'P m -3 m'
_symmetry_Int_Tables_number 221
_symmetry_space_group_name_Hall '-P 4 2 3'
_cell_length_a 4.8420
_cell_length_b 4.8420
_cell_length_c 4.8420
_cell_angle_alpha 90.00
_cell_angle_beta 90.00
_cell_angle_gamma 90.00
loop_
_atom_site_label
_atom_site_type_symbol
_atom_site_fract_x
_atom_site_fract_y
_atom_site_fract_z
_atom_site_occupancy
Mo1 Mo 0.0000 0.0000 0.0000 1
Rh1 Rh 0.0000 0.5000 0.5000 1
Pb1 Pb 0.5000 0.5000 0.5000 1
```

---

13.
Compound: MoRhPb2
Source: Alexandria via LeMat-Bulk
Functional: PBE-GGA
Structure: optimized geometry

The calculation puts the density of states at the Fermi level at 2.77 states/eV per cell. The value obtained for the energy is -6.1972 eV/atom.

CIF file:
```
data_MoRhPb2
_symmetry_space_group_name_H-M 'P 4 m m'
_symmetry_Int_Tables_number 99
_symmetry_space_group_name_Hall 'P 4 -2'
_cell_length_a 3.0989
_cell_length_b 3.0989
_cell_length_c 9.2538
_cell_angle_alpha 90.00
_cell_angle_beta 90.00
_cell_angle_gamma 90.00
loop_
_atom_site_label
_atom_site_type_symbol
_atom_site_fract_x
_atom_site_fract_y
_atom_site_fract_z
_atom_site_occupancy
Mo1 Mo 0.0000 0.0000 0.0000 1
Rh1 Rh 0.5000 0.5000 0.8405 1
Pb1 Pb 0.0000 0.0000 0.6085 1
Pb2 Pb 0.5000 0.5000 0.2461 1
```

---

14.
Compound: MoRh2Pb
Source: Alexandria via LeMat-Bulk
Functional: PBE-GGA
Structure: optimized geometry

The calculation puts the density of states at the Fermi level at 8.05 states/eV per cell. The value obtained for the energy is -7.0840 eV/atom.

CIF file:
```
data_MoRh2Pb
_symmetry_space_group_name_H-M 'I -4 m 2'
_symmetry_Int_Tables_number 119
_symmetry_space_group_name_Hall 'I -4 -2'
_cell_length_a 4.0714
_cell_length_b 4.0714
_cell_length_c 8.0376
_cell_angle_alpha 90.00
_cell_angle_beta 90.00
_cell_angle_gamma 90.00
loop_
_atom_site_label
_atom_site_type_symbol
_atom_site_fract_x
_atom_site_fract_y
_atom_site_fract_z
_atom_site_occupancy
Mo1 Mo 0.0000 0.0000 0.0000 1
Rh1 Rh 0.0000 0.0000 0.5000 1
Rh2 Rh 0.0000 0.5000 0.2500 1
Pb1 Pb 0.0000 0.5000 0.7500 1
```

---

15.
Compound: SrMo2RhPb
Source: Alexandria via LeMat-Bulk
Functional: PBE-GGA
Structure: optimized geometry

The calculation puts the density of states at the Fermi level at 7.47 states/eV per cell. The value obtained for the energy is -4.4732 eV/atom.

CIF file:
```
data_SrMo2RhPb
_symmetry_space_group_name_H-M 'P 4/m m m'
_symmetry_Int_Tables_number 123
_symmetry_space_group_name_Hall '-P 4 2'
_cell_length_a 5.1250
_cell_length_b 5.1250
_cell_length_c 4.9276
_cell_angle_alpha 90.00
_cell_angle_beta 90.00
_cell_angle_gamma 90.00
loop_
_atom_site_label
_atom_site_type_symbol
_atom_site_fract_x
_atom_site_fract_y
_atom_site_fract_z
_atom_site_occupancy
Sr1 Sr 0.0000 0.0000 0.0000 1
Mo1 Mo 0.0000 0.5000 0.0000 1
Rh1 Rh 0.0000 0.0000 0.5000 1
Pb1 Pb 0.5000 0.5000 0.5000 1
```

---

16.
Compound: VMo2RhPb
Source: Alexandria via LeMat-Bulk
Functional: PBE-GGA
Structure: optimized geometry

The calculation puts the density of states at the Fermi level at 6.21 states/eV per cell. The value obtained for the energy is -7.0087 eV/atom.

CIF file:
```
data_VMo2RhPb
_symmetry_space_group_name_H-M 'P 4/m m m'
_symmetry_Int_Tables_number 123
_symmetry_space_group_name_Hall '-P 4 2'
_cell_length_a 4.4686
_cell_length_b 4.4686
_cell_length_c 5.0513
_cell_angle_alpha 90.00
_cell_angle_beta 90.00
_cell_angle_gamma 90.00
loop_
_atom_site_label
_atom_site_type_symbol
_atom_site_fract_x
_atom_site_fract_y
_atom_site_fract_z
_atom_site_occupancy
V1 V 0.0000 0.0000 0.0000 1
Mo1 Mo 0.0000 0.5000 0.0000 1
Rh1 Rh 0.5000 0.5000 0.5000 1
Pb1 Pb 0.0000 0.0000 0.5000 1
```

---

17.
Compound: MoRuPb2
Source: Alexandria via LeMat-Bulk
Functional: PBE-GGA
Structure: optimized geometry

The calculation puts the density of states at the Fermi level at 4.80 states/eV per cell. The value obtained for the energy is -6.4388 eV/atom.

CIF file:
```
data_MoRuPb2
_symmetry_space_group_name_H-M 'R 3 m'
_symmetry_Int_Tables_number 160
_symmetry_space_group_name_Hall 'R 3 -2"'
_cell_length_a 3.1069
_cell_length_b 3.1069
_cell_length_c 31.7783
_cell_angle_alpha 90.00
_cell_angle_beta 90.00
_cell_angle_gamma 120.00
loop_
_atom_site_label
_atom_site_type_symbol
_atom_site_fract_x
_atom_site_fract_y
_atom_site_fract_z
_atom_site_occupancy
Mo1 Mo 0.0000 0.0000 0.0000 1
Ru1 Ru 0.0000 0.0000 0.2746 1
Pb1 Pb 0.0000 0.0000 0.5298 1
Pb2 Pb 0.0000 0.0000 0.7476 1
```

---

18.
Compound: Mo2RuPb
Source: Alexandria via LeMat-Bulk
Functional: PBE-GGA
Structure: optimized geometry

The calculation puts the density of states at the Fermi level at 10.76 states/eV per cell. The value obtained for the energy is -8.0700 eV/atom.

CIF file:
```
data_Mo2RuPb
_symmetry_space_group_name_H-M 'R -3 m'
_symmetry_Int_Tables_number 166
_symmetry_space_group_name_Hall '-R 3 2"'
_cell_length_a 2.9517
_cell_length_b 2.9517
_cell_length_c 28.0896
_cell_angle_alpha 90.00
_cell_angle_beta 90.00
_cell_angle_gamma 120.00
loop_
_atom_site_label
_atom_site_type_symbol
_atom_site_fract_x
_atom_site_fract_y
_atom_site_fract_z
_atom_site_occupancy
Mo1 Mo 0.0000 0.0000 0.2413 1
Ru1 Ru 0.0000 0.0000 0.5000 1
Pb1 Pb 0.0000 0.0000 0.0000 1
```

---

19.
Compound: MoRuPb2
Source: Alexandria via LeMat-Bulk
Functional: PBE-GGA
Structure: optimized geometry

The calculation puts the density of states at the Fermi level at 16.28 states/eV per cell. The value obtained for the energy is -5.7909 eV/atom.

CIF file:
```
data_MoRuPb2
_symmetry_space_group_name_H-M 'I -4 2 d'
_symmetry_Int_Tables_number 122
_symmetry_space_group_name_Hall 'I -4 2bw'
_cell_length_a 7.6570
_cell_length_b 7.6570
_cell_length_c 5.9769
_cell_angle_alpha 90.00
_cell_angle_beta 90.00
_cell_angle_gamma 90.00
loop_
_atom_site_label
_atom_site_type_symbol
_atom_site_fract_x
_atom_site_fract_y
_atom_site_fract_z
_atom_site_occupancy
Mo1 Mo 0.0000 0.0000 0.0000 1
Ru1 Ru 0.0000 0.0000 0.5000 1
Pb1 Pb 0.2324 0.2500 0.6250 1
```

---

20.
Compound: Mo2RuPb
Source: Alexandria via LeMat-Bulk
Functional: PBE-GGA
Structure: optimized geometry

The calculation puts the density of states at the Fermi level at 16.65 states/eV per cell. The value obtained for the energy is -8.1356 eV/atom.

CIF file:
```
data_Mo2RuPb
_symmetry_space_group_name_H-M 'F -4 3 m'
_symmetry_Int_Tables_number 216
_symmetry_space_group_name_Hall 'F -4 2 3'
_cell_length_a 6.4818
_cell_length_b 6.4818
_cell_length_c 6.4818
_cell_angle_alpha 90.00
_cell_angle_beta 90.00
_cell_angle_gamma 90.00
loop_
_atom_site_label
_atom_site_type_symbol
_atom_site_fract_x
_atom_site_fract_y
_atom_site_fract_z
_atom_site_occupancy
Mo1 Mo 0.0000 0.0000 0.0000 1
Mo2 Mo 0.2500 0.2500 0.2500 1
Ru1 Ru 0.2500 0.2500 0.7500 1
Pb1 Pb 0.0000 0.0000 0.5000 1
```